Here is a relaxed structure of Sn4TeSe3 from Alexandria via LeMat-Bulk. Energies are from PBE-GGA.

Summary:
- spin magnetization (μB per cell) = 0.0
- ΔE to the lowest computed polymorph (meV per atom) = 74
- energy (eV per atom) = -4.0164
- ΔE_f (raw) (kJ/mol of atoms) = -30.4

Cell: 6.3514 11.6285 8.0917 Å, 90.00 90.00 90.00°
Element x y z (fractional)
Sn 0.0913 0.8286 0.0000
Sn 0.5609 0.1691 0.0000
Sn 0.0912 0.3394 0.2523
Sn 0.5912 0.6606 0.2477
Sn 0.0609 0.8309 0.5000
Sn 0.5913 0.1714 0.5000
Sn 0.5912 0.6606 0.7523
Sn 0.0912 0.3394 0.7477
Te 0.0469 0.1565 0.0000
Te 0.5469 0.8435 0.5000
Se 0.5459 0.8205 0.0000
Se 0.0439 0.6685 0.2507
Se 0.5439 0.3315 0.2493
Se 0.0459 0.1795 0.5000
Se 0.5439 0.3315 0.7507
Se 0.0439 0.6685 0.7493

Here is a relaxed structure of Sn6Te5Se from Alexandria via LeMat-Bulk. Energies are from PBE-GGA.

Summary:
- spin magnetization (μB per cell) = 0.0
- energy (eV per atom) = -3.9058
- ΔE_f (raw) (kJ/mol of atoms) = -29.4

Cell: 7.7704 7.7664 7.7694 Å, 60.01 80.39 70.48°
Element x y z (fractional)
Sn 0.7561 0.0812 0.3231
Sn 0.2439 0.5956 0.3231
Sn 0.2452 0.2408 0.0000
Sn 0.7548 0.7592 0.0000
Sn 0.7561 0.4044 0.6769
Sn 0.2439 0.9188 0.6769
Te 0.5000 0.1719 0.6562
Te 0.0000 0.3345 0.3311
Te 0.5000 0.5000 0.0000
Te 0.0000 0.6655 0.6689
Te 0.5000 0.8281 0.3438
Se 0.0000 0.0000 0.0000

Here is a relaxed structure of Sn3Te2Se from Alexandria via LeMat-Bulk. Energies are from PBE-GGA.

Summary:
- spin magnetization (μB per cell) = 0.0
- ΔE to the lowest computed polymorph (meV per atom) = 0
- energy (eV per atom) = -3.9607
- ΔE_f (raw) (kJ/mol of atoms) = -32.0

Cell: 4.4467 4.4467 10.8620 Å, 90.00 90.00 120.00°
Element x y z (fractional)
Sn 0.0000 0.0000 0.5000
Sn 0.3333 0.6667 0.1521
Sn 0.6667 0.3333 0.8479
Te 0.3333 0.6667 0.6738
Te 0.6667 0.3333 0.3262
Se 0.0000 0.0000 0.0000

Repeat the first record exactly.
Here is a relaxed structure of Sn4TeSe3 from Alexandria via LeMat-Bulk. Energies are from PBE-GGA.

Summary:
- spin magnetization (μB per cell) = 0.0
- ΔE to the lowest computed polymorph (meV per atom) = 74
- energy (eV per atom) = -4.0164
- ΔE_f (raw) (kJ/mol of atoms) = -30.4

Cell: 6.3514 11.6285 8.0917 Å, 90.00 90.00 90.00°
Element x y z (fractional)
Sn 0.0913 0.8286 0.0000
Sn 0.5609 0.1691 0.0000
Sn 0.0912 0.3394 0.2523
Sn 0.5912 0.6606 0.2477
Sn 0.0609 0.8309 0.5000
Sn 0.5913 0.1714 0.5000
Sn 0.5912 0.6606 0.7523
Sn 0.0912 0.3394 0.7477
Te 0.0469 0.1565 0.0000
Te 0.5469 0.8435 0.5000
Se 0.5459 0.8205 0.0000
Se 0.0439 0.6685 0.2507
Se 0.5439 0.3315 0.2493
Se 0.0459 0.1795 0.5000
Se 0.5439 0.3315 0.7507
Se 0.0439 0.6685 0.7493

Q: What is the spin magnetization in the second record?
A: 0.0 μB per cell